Entry 1:
# Ta2RhAuC GGA-PBE optimized geometry
data_Ta2RhAuC
_chemical_formula_sum 'Ta2 Rh1 Au1 C1'
_cell_length_a 4.8900
_cell_length_b 4.8900
_cell_length_c 4.8423
_cell_angle_alpha 90.00
_cell_angle_beta 90.00
_cell_angle_gamma 90.00
_symmetry_space_group_name_H-M 'P 1'
_symmetry_Int_Tables_number 1
loop_
_symmetry_equiv_pos_as_xyz
'x,y,z'
loop_
_atom_site_label
_atom_site_type_symbol
_atom_site_fract_x
_atom_site_fract_y
_atom_site_fract_z
Ta1 Ta 0.0000 0.5000 0.0000
Ta2 Ta 0.5000 0.0000 0.0000
Rh1 Rh 0.0000 0.0000 0.5000
Au1 Au 0.0000 0.0000 0.0000
C1 C 0.5000 0.5000 0.5000
# - Symmetry: P4/mmm (123)
# - Formation energy from the elements: 2908 meV per atom

***

Entry 2:
# KSr GGA-PBE optimized geometry
data_KSr
_chemical_formula_sum 'K2 Sr2'
_cell_length_a 4.2625
_cell_length_b 4.2625
_cell_length_c 14.7844
_cell_angle_alpha 90.00
_cell_angle_beta 90.00
_cell_angle_gamma 113.39
_symmetry_space_group_name_H-M 'P 1'
_symmetry_Int_Tables_number 1
loop_
_symmetry_equiv_pos_as_xyz
'x,y,z'
loop_
_atom_site_label
_atom_site_type_symbol
_atom_site_fract_x
_atom_site_fract_y
_atom_site_fract_z
K1 K 0.2500 0.7500 0.8661
K2 K 0.7500 0.2500 0.1339
Sr1 Sr 0.2500 0.7500 0.3860
Sr2 Sr 0.7500 0.2500 0.6140
# - Symmetry: Cmme (67)
# - Formation energy from the elements: 56 meV per atom

***

Entry 3:
# Li4InPb2 GGA-PBE optimized geometry
data_Li4InPb2
_chemical_formula_sum 'Li8 In2 Pb4'
_cell_length_a 7.3162
_cell_length_b 7.3162
_cell_length_c 7.3162
_cell_angle_alpha 109.79
_cell_angle_beta 109.79
_cell_angle_gamma 108.84
_symmetry_space_group_name_H-M 'P 1'
_symmetry_Int_Tables_number 1
loop_
_symmetry_equiv_pos_as_xyz
'x,y,z'
loop_
_atom_site_label
_atom_site_type_symbol
_atom_site_fract_x
_atom_site_fract_y
_atom_site_fract_z
Li1 Li 0.1263 0.0437 0.7497
Li2 Li 0.1266 0.5441 0.7503
Li3 Li 0.2941 0.3766 0.2503
Li4 Li 0.4559 0.2063 0.5826
Li5 Li 0.6234 0.8737 0.9174
Li6 Li 0.6237 0.8734 0.4174
Li7 Li 0.7937 0.3763 0.2497
Li8 Li 0.9563 0.7059 0.0826
In1 In 0.2500 0.7500 0.5000
In2 In 0.5000 0.5000 0.0000
Pb1 Pb 0.0000 0.1250 0.3750
Pb2 Pb 0.3750 0.0000 0.1250
Pb3 Pb 0.7500 0.6250 0.6250
Pb4 Pb 0.8750 0.2500 0.8750
# - Energy above the most stable polymorph in this dataset: 2.5 kJ/mol of atoms
# - Symmetry: I-42d (122)
# - Formation energy from the elements: -178 meV per atom

***

Entry 4:
# CaMnPdPt GGA-PBE optimized geometry
data_CaMnPdPt
_chemical_formula_sum 'Ca1 Mn1 Pd1 Pt1'
_cell_length_a 4.6696
_cell_length_b 4.6696
_cell_length_c 4.6696
_cell_angle_alpha 60.00
_cell_angle_beta 60.00
_cell_angle_gamma 60.00
_symmetry_space_group_name_H-M 'P 1'
_symmetry_Int_Tables_number 1
loop_
_symmetry_equiv_pos_as_xyz
'x,y,z'
loop_
_atom_site_label
_atom_site_type_symbol
_atom_site_fract_x
_atom_site_fract_y
_atom_site_fract_z
Ca1 Ca 0.0000 0.0000 0.0000
Mn1 Mn 0.5000 0.5000 0.5000
Pd1 Pd 0.2500 0.2500 0.2500
Pt1 Pt 0.7500 0.7500 0.7500
# - Symmetry: F-43m (216)
# - Formation energy from the elements: -417 meV per atom

***

Entry 5:
# Tm2Zn5In GGA-PBE optimized geometry
data_Tm2Zn5In
_chemical_formula_sum 'Tm4 Zn10 In2'
_cell_length_a 8.3244
_cell_length_b 8.3244
_cell_length_c 9.0983
_cell_angle_alpha 90.00
_cell_angle_beta 90.00
_cell_angle_gamma 150.32
_symmetry_space_group_name_H-M 'P 1'
_symmetry_Int_Tables_number 1
loop_
_symmetry_equiv_pos_as_xyz
'x,y,z'
loop_
_atom_site_label
_atom_site_type_symbol
_atom_site_fract_x
_atom_site_fract_y
_atom_site_fract_z
Tm1 Tm 0.0000 0.0000 0.0000
Tm2 Tm 0.0000 0.0000 0.5000
Tm3 Tm 0.2003 0.7997 0.7500
Tm4 Tm 0.7997 0.2003 0.2500
Zn1 Zn 0.1896 0.8104 0.1090
Zn2 Zn 0.1896 0.8104 0.3910
Zn3 Zn 0.3479 0.6521 0.0195
Zn4 Zn 0.3479 0.6521 0.4805
Zn5 Zn 0.3878 0.6122 0.7500
Zn6 Zn 0.6122 0.3878 0.2500
Zn7 Zn 0.6521 0.3479 0.5195
Zn8 Zn 0.6521 0.3479 0.9805
Zn9 Zn 0.8104 0.1896 0.6090
Zn10 Zn 0.8104 0.1896 0.8910
In1 In 0.4498 0.5502 0.2500
In2 In 0.5502 0.4498 0.7500
# - Symmetry: Cmcm (63)
# - Formation energy from the elements: -309 meV per atom

***

Entry 6:
# NbZnGeO2 GGA-PBE optimized geometry
data_NbZnGeO2
_chemical_formula_sum 'Nb1 Zn1 Ge1 O2'
_cell_length_a 3.7882
_cell_length_b 3.7882
_cell_length_c 5.4247
_cell_angle_alpha 90.00
_cell_angle_beta 90.00
_cell_angle_gamma 90.00
_symmetry_space_group_name_H-M 'P 1'
_symmetry_Int_Tables_number 1
loop_
_symmetry_equiv_pos_as_xyz
'x,y,z'
loop_
_atom_site_label
_atom_site_type_symbol
_atom_site_fract_x
_atom_site_fract_y
_atom_site_fract_z
Nb1 Nb 0.0000 0.0000 0.0000
Zn1 Zn 0.5000 0.5000 0.0000
Ge1 Ge 0.0000 0.0000 0.5000
O1 O 0.0000 0.5000 0.5000
O2 O 0.5000 0.0000 0.5000
# - E_form (uncorrected): 0.18 eV per atom
# - Symmetry: P4/mmm (123)

***

Entry 7:
# K2LaIr GGA-PBE optimized geometry
data_K2LaIr
_chemical_formula_sum 'K2 La1 Ir1'
_cell_length_a 3.1428
_cell_length_b 3.1428
_cell_length_c 12.7398
_cell_angle_alpha 90.00
_cell_angle_beta 90.00
_cell_angle_gamma 90.00
_symmetry_space_group_name_H-M 'P 1'
_symmetry_Int_Tables_number 1
loop_
_symmetry_equiv_pos_as_xyz
'x,y,z'
loop_
_atom_site_label
_atom_site_type_symbol
_atom_site_fract_x
_atom_site_fract_y
_atom_site_fract_z
K1 K 0.0000 0.0000 0.1870
K2 K 0.0000 0.0000 0.8130
La1 La 0.5000 0.5000 0.5000
Ir1 Ir 0.5000 0.5000 0.0000
# - Energy above the most stable polymorph in this dataset: 91.7 kJ/mol of atoms
# - Symmetry: P4/mmm (123)
# - Formation energy from the elements: 870 meV per atom

***

Entry 8:
# TlCdSi3 GGA-PBE optimized geometry
data_TlCdSi3
_chemical_formula_sum 'Tl1 Cd1 Si3'
_cell_length_a 5.1109
_cell_length_b 5.1109
_cell_length_c 5.1109
_cell_angle_alpha 90.00
_cell_angle_beta 90.00
_cell_angle_gamma 90.00
_symmetry_space_group_name_H-M 'P 1'
_symmetry_Int_Tables_number 1
loop_
_symmetry_equiv_pos_as_xyz
'x,y,z'
loop_
_atom_site_label
_atom_site_type_symbol
_atom_site_fract_x
_atom_site_fract_y
_atom_site_fract_z
Tl1 Tl 0.0000 0.0000 0.0000
Cd1 Cd 0.5000 0.5000 0.5000
Si1 Si 0.0000 0.5000 0.5000
Si2 Si 0.5000 0.0000 0.5000
Si3 Si 0.5000 0.5000 0.0000
# - E_form (uncorrected): 1.13 eV per atom
# - Energy above the most stable polymorph in this dataset: 0.0 kJ/mol of atoms
# - Symmetry: Pm-3m (221)

***

no.,DOS(E_F) (states/eV/cell)
1,5.1
2,4.5
3,3.1
4,2.0
5,10.3
6,4.3
7,6.5
8,4.2